No. 1
A geometry-optimized ZrMoOs2 structure. Source: the Alexandria database, functional PBE-GGA.

It has space group Cmmm (No. 65), with a = 6.265 Å, b = 6.851 Å, c = 3.065 Å, α = 90.00°, β = 90.00° and γ = 90.00°. The asymmetric unit holds Zr at (0.000, 0.000, 0.000), Mo at (0.000, 0.500, 0.000) and Os at (0.250, 0.250, 0.500).

The formation energy from the elements is -0.01 eV/atom.

=====

No. 2
A geometry-optimized ZrMoOs2 structure. Source: the Alexandria database, functional PBE-GGA.

It has space group Cm (No. 8), with a = 9.748 Å, b = 2.895 Å, c = 4.788 Å, α = 90.00°, β = 100.95° and γ = 90.00°. The asymmetric unit holds Zr at (0.000, 0.000, 0.000), Mo at (0.220, 0.000, 0.677), Os at (0.261, 0.500, 0.220) and Os at (0.479, 0.000, 0.496).

The formation energy from the elements is 0.05 eV/atom.

=====

No. 3
A geometry-optimized ZrMoOs3 structure. Source: the Alexandria database, functional PBE-GGA.

It has space group Pm-3m (No. 221), with a = 4.669 Å, b = 4.669 Å, c = 4.669 Å, α = 90.00°, β = 90.00° and γ = 90.00°. The asymmetric unit holds Zr at (0.000, 0.000, 0.000), Mo at (0.500, 0.500, 0.500) and Os at (0.000, 0.500, 0.500).

The formation energy from the elements is 1.51 eV/atom.

=====

No. 4
A geometry-optimized ZrMoOs2 structure. Source: the Alexandria database, functional PBE-GGA.

It has space group P4/mmm (No. 123), with a = 3.030 Å, b = 3.030 Å, c = 7.215 Å, α = 90.00°, β = 90.00° and γ = 90.00°. The asymmetric unit holds Zr at (0.000, 0.000, 0.000), Mo at (0.000, 0.000, 0.500) and Os at (0.500, 0.500, 0.276).

The formation energy from the elements is -0.06 eV/atom.

=====

No. 5
A geometry-optimized ZrMoOs2 structure. Source: the Alexandria database, functional PBE-GGA.

It has space group Pmm2 (No. 25), with a = 2.880 Å, b = 3.863 Å, c = 6.022 Å, α = 90.00°, β = 90.00° and γ = 90.00°. The asymmetric unit holds Zr at (0.000, 0.000, 0.000), Mo at (0.500, 0.500, 0.296), Os at (0.000, 0.000, 0.514) and Os at (0.500, 0.500, 0.731).

The formation energy from the elements is 0.15 eV/atom.

=====

No. 6
A geometry-optimized Zr3MoOs structure. Source: the Alexandria database, functional PBE-GGA.

It has space group Pm-3m (No. 221), with a = 5.010 Å, b = 5.010 Å, c = 5.010 Å, α = 90.00°, β = 90.00° and γ = 90.00°. The asymmetric unit holds Zr at (0.000, 0.000, 0.500), Mo at (0.500, 0.500, 0.500) and Os at (0.000, 0.000, 0.000).

The formation energy from the elements is 0.86 eV/atom.

=====

No. 7
A geometry-optimized ZrMoOs2 structure. Source: the Alexandria database, functional PBE-GGA.

It has space group I-4m2 (No. 119), with a = 3.910 Å, b = 3.910 Å, c = 8.630 Å, α = 90.00°, β = 90.00° and γ = 90.00°. The asymmetric unit holds Zr at (0.000, 0.000, 0.000), Mo at (0.000, 0.500, 0.750), Os at (0.000, 0.000, 0.500) and Os at (0.000, 0.500, 0.250).

The formation energy from the elements is 0.11 eV/atom.

=====

No. 8
A geometry-optimized ZrMoOs2 structure. Source: the Alexandria database, functional PBE-GGA.

It has space group I-42d (No. 122), with a = 7.262 Å, b = 7.262 Å, c = 5.468 Å, α = 90.00°, β = 90.00° and γ = 90.00°. The asymmetric unit holds Zr at (0.000, 0.000, 0.000), Mo at (0.000, 0.000, 0.500) and Os at (0.217, 0.250, 0.625).

The formation energy from the elements is 0.52 eV/atom.

=====

No. 9
A geometry-optimized ZrMoOs2 structure. Source: the Alexandria database, functional PBE-GGA.

It has space group Pm (No. 6), with a = 2.960 Å, b = 4.591 Å, c = 4.936 Å, α = 90.00°, β = 97.98° and γ = 90.00°. The asymmetric unit holds Zr at (0.000, 0.000, 0.000), Mo at (0.785, 0.500, 0.364), Os at (0.405, 0.000, 0.511) and Os at (0.446, 0.500, 0.858).

The formation energy from the elements is 0.01 eV/atom.

=====

No. 10
A geometry-optimized ZrMoOs2 structure. Source: the Alexandria database, functional PBE-GGA.

It has space group Fm-3m (No. 225), with a = 6.407 Å, b = 6.407 Å, c = 6.407 Å, α = 90.00°, β = 90.00° and γ = 90.00°. The asymmetric unit holds Zr at (0.000, 0.000, 0.000), Mo at (0.000, 0.000, 0.500) and Os at (0.250, 0.250, 0.250).

The formation energy from the elements is 0.04 eV/atom.

=====

No. 11
A geometry-optimized ZrMoOs2 structure. Source: the Alexandria database, functional PBE-GGA.

It has space group R-3m (No. 166, hexagonal axes), with a = 2.8265 Å, b = 2.8265 Å, c = 28.2134 Å, α = 90.00°, β = 90.00° and γ = 120.00°. The asymmetric unit holds Zr at (0.0000, 0.0000, 0.0000), Mo at (0.0000, 0.0000, 0.5000) and Os at (0.0000, 0.0000, 0.2440).

The formation energy from the elements is 0.17 eV/atom.

=====

No. 12
A geometry-optimized Zr6MoOs structure. Source: the Alexandria database, functional PBE-GGA.

It has space group I4/mmm (No. 139), with a = 4.715 Å, b = 4.715 Å, c = 14.872 Å, α = 90.00°, β = 90.00° and γ = 90.00°. The asymmetric unit holds Zr at (0.000, 0.000, 0.246), Zr at (0.000, 0.500, 0.108), Mo at (0.000, 0.000, 0.000) and Os at (0.000, 0.000, 0.500).

The formation energy from the elements is -0.13 eV/atom.

=====

No. 13
A geometry-optimized ZrMoOs2 structure. Source: the Alexandria database, functional PBE-GGA.

It has space group C2/m (No. 12), with a = 10.049 Å, b = 3.167 Å, c = 4.634 Å, α = 90.00°, β = 116.94° and γ = 90.00°. The asymmetric unit holds Zr at (0.000, 0.000, 0.000), Mo at (0.000, 0.500, 0.500) and Os at (0.234, 0.000, 0.731).

The formation energy from the elements is 0.09 eV/atom.

=====

No. 14
A geometry-optimized ZrMo2Os2 structure. Source: the Alexandria database, functional PBE-GGA.

It has space group P4/mbm (No. 127), with a = 7.601 Å, b = 7.601 Å, c = 2.911 Å, α = 90.00°, β = 90.00° and γ = 90.00°. The asymmetric unit holds Zr at (0.000, 0.000, 0.000), Mo at (0.165, 0.335, 0.500) and Os at (0.131, 0.631, 0.000).

The formation energy from the elements is 0.05 eV/atom.

=====

No. 15
A geometry-optimized ZrMoOs2 structure. Source: the Alexandria database, functional PBE-GGA.

It has space group P2/m (No. 10), with a = 2.837 Å, b = 4.349 Å, c = 5.505 Å, α = 90.00°, β = 103.47° and γ = 90.00°. The asymmetric unit holds Zr at (0.000, 0.000, 0.000), Mo at (0.500, 0.000, 0.500) and Os at (0.318, 0.500, 0.725).

The formation energy from the elements is 0.06 eV/atom.

=====

No. 16
A geometry-optimized ZrMoOs2 structure. Source: the Alexandria database, functional PBE-GGA.

It has space group Imm2 (No. 44), with a = 3.196 Å, b = 4.509 Å, c = 9.127 Å, α = 90.00°, β = 90.00° and γ = 90.00°. The asymmetric unit holds Zr at (0.000, 0.000, 0.000), Mo at (0.000, 0.500, 0.751), Os at (0.000, 0.000, 0.486) and Os at (0.000, 0.500, 0.249).

The formation energy from the elements is 0.06 eV/atom.

=====

No. 17
A geometry-optimized ZrMoOs2 structure. Source: the Alexandria database, functional PBE-GGA.

It has space group P4/mmm (No. 123), with a = 4.426 Å, b = 4.426 Å, c = 3.362 Å, α = 90.00°, β = 90.00° and γ = 90.00°. The asymmetric unit holds Zr at (0.000, 0.000, 0.000), Mo at (0.500, 0.500, 0.000) and Os at (0.000, 0.500, 0.500).

The formation energy from the elements is 0.01 eV/atom.

=====

No. 18
A geometry-optimized ZrMoOs2 structure. Source: the Alexandria database, functional PBE-GGA.

It has space group Pmmm (No. 47), with a = 3.172 Å, b = 4.447 Å, c = 4.627 Å, α = 90.00°, β = 90.00° and γ = 90.00°. The asymmetric unit holds Zr at (0.000, 0.000, 0.000), Mo at (0.500, 0.000, 0.500), Os at (0.000, 0.500, 0.500) and Os at (0.500, 0.500, 0.000).

The formation energy from the elements is 0.10 eV/atom.

=====

No. 19
A geometry-optimized Zr6MoOs5 structure. Source: the Alexandria database, functional PBE-GGA.

It has space group P2/m (No. 10), with a = 4.657 Å, b = 6.583 Å, c = 7.363 Å, α = 90.00°, β = 108.31° and γ = 90.00°. The asymmetric unit holds Zr at (0.000, 0.250, 0.000), Zr at (0.334, 0.249, 0.667), Mo at (0.500, 0.000, 0.000), Os at (0.167, 0.000, 0.334), Os at (0.167, 0.500, 0.335) and Os at (0.500, 0.500, 0.000).

The formation energy from the elements is -0.44 eV/atom.

=====

No. 20
A geometry-optimized Zr3MoOs structure. Source: the Alexandria database, functional PBE-GGA.

It has space group Pm-3m (No. 221), with a = 4.902 Å, b = 4.902 Å, c = 4.902 Å, α = 90.00°, β = 90.00° and γ = 90.00°. The asymmetric unit holds Zr at (0.000, 0.000, 0.500), Mo at (0.000, 0.000, 0.000) and Os at (0.500, 0.500, 0.500).

The formation energy from the elements is 1.21 eV/atom.

=====

No. 21
A geometry-optimized ZrMoOs2 structure. Source: the Alexandria database, functional PBE-GGA.

It has space group R3m (No. 160, hexagonal axes), with a = 2.8208 Å, b = 2.8208 Å, c = 28.8092 Å, α = 90.00°, β = 90.00° and γ = 120.00°. The asymmetric unit holds Zr at (0.0000, 0.0000, 0.0000), Mo at (0.0000, 0.0000, 0.7602), Os at (0.0000, 0.0000, 0.2444) and Os at (0.0000, 0.0000, 0.5041).

The formation energy from the elements is 0.28 eV/atom.

=====

No. 22
A geometry-optimized Zr4MoOs structure. Source: the Alexandria database, functional PBE-GGA.

It has space group F-43m (No. 216), with a = 7.827 Å, b = 7.827 Å, c = 7.827 Å, α = 90.00°, β = 90.00° and γ = 90.00°. The asymmetric unit holds Zr at (0.125, 0.125, 0.125), Mo at (0.250, 0.250, 0.750) and Os at (0.000, 0.000, 0.500).

The formation energy from the elements is 0.70 eV/atom.

=====

No. 23
A geometry-optimized Mo3P2 structure. Source: the Alexandria database, functional PBE-GGA.

It has space group R-3m (No. 166, hexagonal axes), with a = 2.9822 Å, b = 2.9822 Å, c = 28.7005 Å, α = 90.00°, β = 90.00° and γ = 120.00°. The asymmetric unit holds Mo at (0.0000, 0.0000, 0.0000), Mo at (0.0000, 0.0000, 0.2057) and P at (0.0000, 0.0000, 0.3982).

The formation energy from the elements is -0.04 eV/atom.

=====

No. 24
A geometry-optimized Mo4P structure. Source: the Alexandria database, functional PBE-GGA.

It has space group Pm-3m (No. 221), with a = 4.414 Å, b = 4.414 Å, c = 4.414 Å, α = 90.00°, β = 90.00° and γ = 90.00°. The asymmetric unit holds Mo at (0.000, 0.000, 0.000), Mo at (0.000, 0.500, 0.500) and P at (0.500, 0.500, 0.500).

The formation energy from the elements is 0.68 eV/atom.

=====

No. 25
A geometry-optimized MoP5 structure. Source: the Alexandria database, functional PBE-GGA.

It has space group Amm2 (No. 38), with a = 4.373 Å, b = 3.247 Å, c = 14.082 Å, α = 90.00°, β = 90.00° and γ = 90.00°. The asymmetric unit holds Mo at (0.000, 0.000, 0.000), P at (0.000, 0.000, 0.364), P at (0.000, 0.000, 0.639), P at (0.500, 0.000, 0.302), P at (0.500, 0.000, 0.567) and P at (0.500, 0.000, 0.921).

The formation energy from the elements is 0.14 eV/atom.

=====

No. 26
A geometry-optimized MoP5 structure. Source: the Alexandria database, functional PBE-GGA.

It has space group F-43m (No. 216), with a = 7.016 Å, b = 7.016 Å, c = 7.016 Å, α = 90.00°, β = 90.00° and γ = 90.00°. The asymmetric unit holds Mo at (0.000, 0.000, 0.000), P at (0.123, 0.123, 0.377) and P at (0.250, 0.250, 0.750).

The formation energy from the elements is 0.86 eV/atom.

=====

No. 27
A geometry-optimized MoP5 structure. Source: the Alexandria database, functional PBE-GGA.

It has space group Cm (No. 8), with a = 9.065 Å, b = 3.206 Å, c = 6.784 Å, α = 90.00°, β = 110.55° and γ = 90.00°. The asymmetric unit holds Mo at (0.000, 0.000, 0.000), P at (0.018, 0.500, 0.289), P at (0.066, 0.000, 0.676), P at (0.228, 0.500, 0.089), P at (0.279, 0.500, 0.443) and P at (0.314, 0.000, 0.712).

The formation energy from the elements is 0.06 eV/atom.

=====

No. 28
A geometry-optimized Mo5P structure. Source: the Alexandria database, functional PBE-GGA.

It has space group C2/m (No. 12), with a = 9.836 Å, b = 3.164 Å, c = 6.175 Å, α = 90.00°, β = 109.56° and γ = 90.00°. The asymmetric unit holds Mo at (0.000, 0.000, 0.000), Mo at (0.162, 0.500, 0.825), Mo at (0.166, 0.500, 0.337) and P at (0.000, 0.000, 0.500).

The formation energy from the elements is -0.06 eV/atom.